The following is a DFT calculation (PBE) of a relaxed RbV2Sb2 crystal.

POSCAR file:
```
RbV2Sb2
1.0
-2.032 2.032 8.307
2.032 -2.032 8.307
2.032 2.032 -8.307
Rb V Sb
1 2 2
Direct
0.000 0.000 0.000 Rb
0.250 0.750 0.500 V
0.750 0.250 0.500 V
0.357 0.357 0.000 Sb
0.643 0.643 0.000 Sb
```

Mass density   5.2 g/cm³
Density of states at the Fermi level   1.055 states/eV/atom
E_tot   -5.520 eV per atom
ΔE_f (raw)   -29.9 meV/atom